# PmZn10Ag2 | Alexandria via LeMat-Bulk | PBE-GGA | relaxed
data_PmZn10Ag2
_chemical_formula_sum 'Pm1 Zn10 Ag2'
_space_group_name_H-M_alt 'P 1'
_space_group_IT_number 1
_space_group_name_Hall 'P 1'
_cell_length_a 5.449
_cell_length_b 6.984
_cell_length_c 6.827
_cell_angle_alpha 81.04
_cell_angle_beta 66.48
_cell_angle_gamma 67.04
loop_
_atom_site_label
_atom_site_fract_x
_atom_site_fract_y
_atom_site_fract_z
Ag1 0.000 0.500 0.000
Ag2 0.500 0.500 0.000
Pm1 0.000 0.000 0.000
Zn1 0.496 0.789 0.219
Zn2 0.355 0.651 0.639
Zn3 0.500 0.000 0.500
Zn4 0.006 0.349 0.639
Zn5 0.000 0.000 0.500
Zn6 0.285 0.211 0.219
Zn7 0.715 0.789 0.781
Zn8 0.994 0.651 0.361
Zn9 0.504 0.211 0.781
Zn10 0.645 0.349 0.361
# N(E_F)   4.2 states/eV per cell
# V   16.87 A^3/atom
# Formation enthalpy at 0 K   -0.148 eV/atom
# Spin magnetization   0.00 μB per cell